# 1
The following is a DFT calculation (PBE) of a geometry-optimized La2Rh6C structure.

```
9
Lattice="4.892 -0.023 -0.014 0.029 5.988 0.007 0.029 2.989 5.189" Properties=species:S:1:pos:R:3 pbc="T T T"
Rh 3.667 1.414 0.819
Rh 1.269 4.416 4.359
Rh 3.682 2.974 3.524
Rh 3.682 4.537 0.822
Rh 1.269 5.980 1.657
Rh 1.284 7.539 4.363
C 0.000 0.000 0.000
La 3.767 5.967 3.453
La 1.183 2.986 1.728
```

Calculated values
Formation enthalpy at 0 K = -0.341 eV/atom
Theoretical density = 9.92 g/cm3
Spin magnetization = 0.00 μB/cell

# 2
The following is a DFT calculation (PBE) of a geometry-optimized Ac9PmPr2 structure.

```
12
Lattice="5.537 0.000 0.000 0.000 5.537 0.000 0.000 0.000 16.607" Properties=species:S:1:pos:R:3 pbc="T T T"
Ac 2.768 0.000 8.303
Ac 0.000 2.768 8.303
Ac 2.768 0.000 2.754
Ac 2.768 0.000 13.853
Ac 2.768 2.768 5.527
Ac 0.000 2.768 13.853
Ac 0.000 2.768 2.754
Ac 2.768 2.768 0.000
Ac 2.768 2.768 11.080
Pr 0.000 0.000 11.078
Pr 0.000 0.000 5.528
Pm 0.000 0.000 0.000
```

Calculated values
Formation enthalpy at 0 K = 0.019 eV/atom
Theoretical density = 8.06 g/cm3
Spin magnetization = 0.00 μB/cell

# 3
The following is a DFT calculation (PBE) of a geometry-optimized MgZrSc2 structure.

```
4
Lattice="5.580 0.036 0.000 1.926 5.238 0.000 -3.753 -2.637 3.179" Properties=species:S:1:pos:R:3 pbc="T T T"
Zr 3.753 2.637 0.000
Sc 0.000 0.000 0.000
Sc 0.963 2.619 1.589
Mg 2.790 0.018 1.589
```

Calculated values
Formation enthalpy at 0 K = 0.063 eV/atom
Theoretical density = 3.68 g/cm3
Spin magnetization = 0.00 μB/cell

# 4
The following is a DFT calculation (PBE) of a geometry-optimized Be3ZnSb structure.

```
5
Lattice="-3.015 -0.340 -3.010 1.361 -3.946 -0.917 -2.706 -1.605 2.892" Properties=species:S:1:pos:R:3 pbc="T T T"
Be -1.508 -0.170 -1.505
Be 0.680 -1.973 -0.459
Be -1.353 -0.803 1.446
Zn 0.000 0.000 0.000
Sb -2.180 -2.946 -0.517
```

Calculated values
Theoretical density = 4.56 g/cm3
E_form (uncorrected) = 801 meV/atom
Spin magnetization = 0.00 μB/cell
Distance to the lowest polymorph of the same formula = 0 meV per atom

# 5
The following is a DFT calculation (PBE) of a geometry-optimized LiPmPAu structure.

```
4
Lattice="4.892 0.000 0.000 2.446 4.236 0.000 2.446 1.412 3.994" Properties=species:S:1:pos:R:3 pbc="T T T"
Au 0.000 0.000 0.000
P 4.892 2.824 1.997
Pm 7.338 4.236 2.996
Li 2.446 1.412 0.999
```

Calculated values
Formation enthalpy at 0 K = -0.777 eV/atom
Theoretical density = 7.62 g/cm3
Spin magnetization = 0.00 μB/cell

# 6
The following is a DFT calculation (PBE) of a geometry-optimized Pr8Nd3Dy structure.

```
12
Lattice="7.769 -0.502 -3.691 -4.542 7.220 -1.212 -0.315 0.502 8.595" Properties=species:S:1:pos:R:3 pbc="T T T"
Nd 2.512 1.930 4.298
Nd -2.429 3.861 3.691
Nd 0.399 5.290 -0.606
Dy 0.000 0.000 0.000
Pr -3.128 4.972 6.766
Pr 3.593 6.136 0.643
Pr 2.675 1.622 -0.042
Pr 5.239 0.583 -1.859
Pr -3.522 5.598 1.261
Pr 0.291 5.511 3.650
Pr 0.118 2.750 1.833
Pr 6.378 1.709 2.514
```

Calculated values
Formation enthalpy at 0 K = 0.533 eV/atom
Theoretical density = 6.12 g/cm3
Spin magnetization = 0.00 μB/cell

# 7
The following is a DFT calculation (PBE) of a geometry-optimized BaPrRu2O8 structure.

```
12
Lattice="5.973 0.000 0.000 -2.986 5.173 0.000 0.000 0.000 7.820" Properties=species:S:1:pos:R:3 pbc="T T T"
Ru 2.986 1.724 1.686
Ru 0.000 3.448 6.134
O 2.989 3.451 2.282
O 0.000 3.448 0.093
O -1.494 4.314 5.538
O 1.497 4.310 5.538
O 1.490 0.863 2.282
O -0.002 1.721 5.538
O 2.986 1.724 7.727
O 4.481 0.859 2.282
Ba 0.000 0.000 0.000
Pr 0.000 0.000 3.910
```

Calculated values
Theoretical density = 4.18 g/cm3
E_form (uncorrected) = -1633 meV/atom
Spin magnetization = 3.01 μB/cell

# 8
The following is a DFT calculation (PBE) of a geometry-optimized ZrMn3Si structure.

```
5
Lattice="-4.120 2.362 -0.441 -0.760 -0.451 4.687 2.279 4.119 0.766" Properties=species:S:1:pos:R:3 pbc="T T T"
Mn 1.140 2.059 0.383
Mn -2.060 1.181 -0.221
Mn -0.380 -0.226 2.343
Zr 0.000 0.000 0.000
Si -1.301 3.015 2.506
```

Calculated values
Theoretical density = 4.35 g/cm3
E_form (uncorrected) = 1571 meV/atom
Spin magnetization = 9.23 μB/cell
Distance to the lowest polymorph of the same formula = 1254 meV per atom

# 9
The following is a DFT calculation (PBE) of a geometry-optimized TbMgCd structure.

```
3
Lattice="5.533 -1.110 1.496 2.546 2.258 0.195 -1.218 0.926 5.195" Properties=species:S:1:pos:R:3 pbc="T T T"
Mg 4.040 0.574 0.845
Cd 1.273 1.129 0.097
Tb -0.609 0.463 2.598
```

Calculated values
Formation enthalpy at 0 K = 0.105 eV/atom
Theoretical density = 5.67 g/cm3
Spin magnetization = 0.00 μB/cell

# 10
The following is a DFT calculation (PBE) of a geometry-optimized Zr2MnSnC structure.

```
5
Lattice="4.649 0.000 0.000 0.000 4.649 0.000 0.000 0.000 3.943" Properties=species:S:1:pos:R:3 pbc="T T T"
Zr 0.000 2.325 0.000
Zr 2.325 0.000 0.000
Mn 0.000 0.000 1.972
Sn 2.325 2.325 1.972
C 0.000 0.000 0.000
```

Calculated values
Formation enthalpy at 0 K = -0.388 eV/atom
Theoretical density = 7.17 g/cm3
Spin magnetization = 2.37 μB/cell